#a
## SbIrWI2 (PBE-GGA)

Data for SbIrWI2 after structural relaxation.

Lattice parameters (Å, degrees): 5.2655 5.2655 5.3512 90.00 90.00 90.00
Each line ends with the local moment (μB).
Fractional positions:
I 0.0000 0.5000 0.0000  0.05
I 0.5000 0.0000 0.0000  0.05
Ir 0.5000 0.5000 0.5000  1.65
W 0.0000 0.0000 0.0000  -0.41
Sb 0.0000 0.0000 0.5000  0.00

Computed properties:
**Space group**: P4/mmm, No. 123
**N(E_F)**: 8.382 states/eV/f.u.

#b
## SbIrWI2 (PBE-GGA)

Data for SbIrWI2 after structural relaxation.

Lattice parameters (Å, degrees): 5.5251 5.5251 5.0037 90.00 90.00 90.00
Each line ends with the local moment (μB).
Fractional positions:
I 0.5000 0.0000 0.0000  0.01
Ir 0.0000 0.0000 0.0000  0.04
Sb 0.0000 0.0000 0.5000  -0.08
I 0.0000 0.5000 0.0000  0.01
W 0.5000 0.5000 0.5000  3.34

Computed properties:
**Space group**: P4/mmm, No. 123
**N(E_F)**: 5.764 states/eV/f.u.

#b is preferred energetically. Next in line: 121 meV/atom higher.

#a
## ScIrI3 (PBE-GGA)

Data for ScIrI3 after structural relaxation.

Lattice parameters (Å, degrees): 5.3897 5.3897 5.3897 90.00 90.00 90.00
Each line ends with the local moment (μB).
Fractional positions:
I 0.0000 0.5000 0.0000  -0.03
Ir 0.0000 0.0000 0.0000  -0.06
I 0.0000 0.0000 0.5000  -0.02
Sc 0.5000 0.5000 0.5000  0.83
I 0.5000 0.0000 0.0000  -0.03

Computed properties:
**Space group**: Pm-3m, No. 221
**N(E_F)**: 8.610 states/eV/f.u.

#b
## ScIrI3 (PBE-GGA)

Data for ScIrI3 after structural relaxation.

Lattice parameters (Å, degrees): 5.6989 5.6989 5.6989 90.00 90.00 90.00
Each line ends with the local moment (μB).
Fractional positions:
Sc 0.0000 0.0000 0.0000  -0.03
I 0.0000 0.5000 0.0000  0.06
I 0.0000 0.0000 0.5000  0.05
Ir 0.5000 0.5000 0.5000  2.46
I 0.5000 0.0000 0.0000  0.03

Computed properties:
**Space group**: Pm-3m, No. 221
**N(E_F)**: 8.983 states/eV/f.u.

#a is preferred energetically. Next in line: 213 meV/atom higher.

#a
## Sc2IrI2 (PBE-GGA)

Data for Sc2IrI2 after structural relaxation.

Lattice parameters (Å, degrees): 7.2194 7.2194 4.8737 90.00 90.00 90.00
Fractional positions:
Ir 0.0000 0.0000 0.0000
I 0.1650 0.6650 0.5000
Sc 0.8256 0.6744 0.0000
Ir 0.5000 0.5000 0.0000
I 0.6650 0.8350 0.5000
I 0.8350 0.3350 0.5000
Sc 0.1744 0.3256 0.0000
I 0.3350 0.1650 0.5000
Sc 0.3256 0.8256 0.0000
Sc 0.6744 0.1744 0.0000

Computed properties:
**Space group**: P4/mbm, No. 127
**N(E_F)**: 3.664 states/eV/f.u.

#b
## Sc2IrI2 (PBE-GGA)

Data for Sc2IrI2 after structural relaxation.

Lattice parameters (Å, degrees): 4.5329 4.5329 7.3820 72.12 72.12 90.00
Each line ends with the local moment (μB).
Fractional positions:
Ir 0.0000 0.0000 0.0000  0.50
I 0.2500 0.7500 0.5000  0.00
Sc 0.3920 0.3920 0.2161  0.12
I 0.7500 0.2500 0.5000  0.00
Sc 0.6080 0.6080 0.7839  0.12

Computed properties:
**Space group**: I4/mmm, No. 139
**N(E_F)**: 5.025 states/eV/f.u.

#a is preferred energetically. Next in line: 644 meV/atom higher.

#a
## Ir3SeI (PBE-GGA)

Data for Ir3SeI after structural relaxation.

Lattice parameters (Å, degrees): 4.6949 4.6949 4.6949 90.00 90.00 90.00
Fractional positions:
Se 0.0000 0.0000 0.0000
I 0.5000 0.5000 0.5000
Ir 0.0000 0.5000 0.0000
Ir 0.0000 0.0000 0.5000
Ir 0.5000 0.0000 0.0000

Computed properties:
**Space group**: Pm-3m, No. 221
**N(E_F)**: 4.986 states/eV/f.u.

#b
## Ir3SeI (PBE-GGA)

Data for Ir3SeI after structural relaxation.

Lattice parameters (Å, degrees): 4.8865 4.8865 4.8865 90.00 90.00 90.00
Fractional positions:
Ir 0.0000 0.0000 0.5000
Ir 0.0000 0.5000 0.0000
I 0.0000 0.0000 0.0000
Ir 0.5000 0.0000 0.0000
Se 0.5000 0.5000 0.5000

Computed properties:
**Space group**: Pm-3m, No. 221
**N(E_F)**: 8.265 states/eV/f.u.

#a is preferred energetically. Next in line: 711 meV/atom higher.

#a
## IrSeI2 (PBE-GGA)

Data for IrSeI2 after structural relaxation.

Lattice parameters (Å, degrees): 7.4118 7.4118 6.7492 56.70 56.70 90.00
Fractional positions:
Se 0.5000 0.5000 0.0000
I 0.6769 0.1250 0.2500
I 0.0731 0.6250 0.2500
Ir 0.0000 0.0000 0.0000
I 0.3750 0.3231 0.7500
I 0.8750 0.9269 0.7500
Ir 0.7500 0.2500 0.5000
Se 0.2500 0.7500 0.5000

Computed properties:
**Space group**: I-42d, No. 122
**N(E_F)**: 2.356 states/eV/f.u.

#b
## IrSeI2 (PBE-GGA)

Data for IrSeI2 after structural relaxation.

Lattice parameters (Å, degrees): 5.0453 5.0453 5.0453 60.00 60.00 60.00
Fractional positions:
I 0.2500 0.2500 0.2500
I 0.7500 0.7500 0.7500
Ir 0.5000 0.5000 0.5000
Se 0.0000 0.0000 0.0000

Computed properties:
**Space group**: Fm-3m, No. 225
**N(E_F)**: 5.598 states/eV/f.u.

#a is preferred energetically. Next in line: 467 meV/atom higher.

#a
## SiIr2I (PBE-GGA)

Data for SiIr2I after structural relaxation.

Lattice parameters (Å, degrees): 4.5718 4.5718 4.5718 60.00 60.00 60.00
Fractional positions:
Ir 0.2500 0.2500 0.2500
Si 0.0000 0.0000 0.0000
Ir 0.7500 0.7500 0.7500
I 0.5000 0.5000 0.5000

Computed properties:
**Space group**: Fm-3m, No. 225
**N(E_F)**: 8.528 states/eV/f.u.

#b
## SiIr2I (PBE-GGA)

Data for SiIr2I after structural relaxation.

Lattice parameters (Å, degrees): 5.2239 5.2239 7.4236 69.40 69.40 90.00
Fractional positions:
Si 0.5000 0.5000 0.0000
Si 0.2500 0.7500 0.5000
Ir 0.8750 0.8175 0.7500
Ir 0.3750 0.4325 0.7500
Ir 0.5675 0.1250 0.2500
I 0.0000 0.0000 0.0000
Ir 0.1825 0.6250 0.2500
I 0.7500 0.2500 0.5000

Computed properties:
**Space group**: I-42d, No. 122
**N(E_F)**: 3.428 states/eV/f.u.

#b is preferred energetically. Next in line: 424 meV/atom higher.

#a
## SiIrI3 (PBE-GGA)

Data for SiIrI3 after structural relaxation.

Lattice parameters (Å, degrees): 5.5077 5.5077 5.5077 90.00 90.00 90.00
Each line ends with the local moment (μB).
Fractional positions:
I 0.5000 0.0000 0.0000  0.06
Ir 0.5000 0.5000 0.5000  2.28
I 0.0000 0.0000 0.5000  0.05
I 0.0000 0.5000 0.0000  0.08
Si 0.0000 0.0000 0.0000  0.02

Computed properties:
**Space group**: Pm-3m, No. 221
**N(E_F)**: 9.191 states/eV/f.u.

#b
## SiIrI3 (PBE-GGA)

Data for SiIrI3 after structural relaxation.

Lattice parameters (Å, degrees): 5.3756 5.3756 5.3756 90.00 90.00 90.00
Each line ends with the local moment (μB).
Fractional positions:
Ir 0.0000 0.0000 0.0000  -0.08
I 0.0000 0.5000 0.0000  -0.01
I 0.0000 0.0000 0.5000  -0.02
Si 0.5000 0.5000 0.5000  0.14
I 0.5000 0.0000 0.0000  -0.03

Computed properties:
**Space group**: Pm-3m, No. 221
**N(E_F)**: 3.345 states/eV/f.u.

#b is preferred energetically. Next in line: 508 meV/atom higher.

#a
## Sm2IrI (PBE-GGA)

Data for Sm2IrI after structural relaxation.

Lattice parameters (Å, degrees): 3.5574 3.5574 8.4821 90.00 90.00 90.00
Fractional positions:
I 0.5000 0.5000 0.5000
Sm 0.0000 0.0000 0.2004
Sm 0.0000 0.0000 0.7996
Ir 0.5000 0.5000 0.0000

Computed properties:
**Space group**: P4/mmm, No. 123
**N(E_F)**: 3.022 states/eV/f.u.

#b
## Sm2IrI (PBE-GGA)

Data for Sm2IrI after structural relaxation.

Lattice parameters (Å, degrees): 4.1827 4.1827 8.3717 75.53 75.53 60.00
Fractional positions:
I 0.5000 0.5000 0.5000
Sm 0.2726 0.2726 0.1821
Ir 0.0000 0.0000 0.0000
Sm 0.7274 0.7274 0.8179

Computed properties:
**Space group**: R-3m, No. 166
**N(E_F)**: 0.960 states/eV/f.u.

#b is preferred energetically. Next in line: 251 meV/atom higher.

#a
## Sn2IrI (PBE-GGA)

Data for Sn2IrI after structural relaxation.

Lattice parameters (Å, degrees): 5.1623 5.1623 5.1623 60.00 60.00 60.00
Fractional positions:
Sn 0.7500 0.7500 0.7500
I 0.0000 0.0000 0.0000
Ir 0.5000 0.5000 0.5000
Sn 0.2500 0.2500 0.2500

Computed properties:
**Space group**: Fm-3m, No. 225
**N(E_F)**: 1.923 states/eV/f.u.

#b
## Sn2IrI (PBE-GGA)

Data for Sn2IrI after structural relaxation.

Lattice parameters (Å, degrees): 6.8099 6.8099 7.9101 64.50 64.50 90.00
Fractional positions:
Sn 0.3750 0.2770 0.7500
Ir 0.7500 0.2500 0.5000
I 0.5000 0.5000 0.0000
Sn 0.0270 0.6250 0.2500
I 0.2500 0.7500 0.5000
Sn 0.8750 0.9730 0.7500
Ir 0.0000 0.0000 0.0000
Sn 0.7230 0.1250 0.2500

Computed properties:
**Space group**: I-42d, No. 122
**N(E_F)**: 0.502 states/eV/f.u.

#b is preferred energetically. Next in line: 516 meV/atom higher.

#a
## Sr2IrI (PBE-GGA)

Data for Sr2IrI after structural relaxation.

Lattice parameters (Å, degrees): 3.7826 3.7826 8.3693 90.00 90.00 90.00
Each line ends with the local moment (μB).
Fractional positions:
Sr 0.0000 0.0000 0.7949  -0.01
Ir 0.5000 0.5000 0.0000  0.29
Sr 0.0000 0.0000 0.2051  -0.01
I 0.5000 0.5000 0.5000  0.00

Computed properties:
**Space group**: P4/mmm, No. 123
**N(E_F)**: 1.022 states/eV/f.u.

#b
## Sr2IrI (PBE-GGA)

Data for Sr2IrI after structural relaxation.

Lattice parameters (Å, degrees): 8.0931 8.0931 7.3471 56.58 56.58 90.00
Fractional positions:
I 0.5000 0.5000 0.0000
Sr 0.6820 0.1250 0.2500
Sr 0.0680 0.6250 0.2500
I 0.2500 0.7500 0.5000
Ir 0.7500 0.2500 0.5000
Sr 0.8750 0.9320 0.7500
Sr 0.3750 0.3180 0.7500
Ir 0.0000 0.0000 0.0000

Computed properties:
**Space group**: I-42d, No. 122
**N(E_F)**: 0.000 states/eV/f.u.

#c
## Sr2IrI (PBE-GGA)

Data for Sr2IrI after structural relaxation.

Lattice parameters (Å, degrees): 5.4640 5.4640 5.4640 60.00 60.00 60.00
Fractional positions:
Sr 0.2500 0.2500 0.2500
Sr 0.7500 0.7500 0.7500
I 0.0000 0.0000 0.0000
Ir 0.5000 0.5000 0.5000

Computed properties:
**Space group**: Fm-3m, No. 225
**N(E_F)**: 0.000 states/eV/f.u.

#a is preferred energetically. Next in line: 223 meV/atom higher.

#a
## SrIr3I (PBE-GGA)

Data for SrIr3I after structural relaxation.

Lattice parameters (Å, degrees): 5.1511 5.1511 5.1511 90.00 90.00 90.00
Each line ends with the local moment (μB).
Fractional positions:
Sr 0.0000 0.0000 0.0000  -0.04
Ir 0.0000 0.0000 0.5000  1.01
Ir 0.5000 0.0000 0.0000  0.99
Ir 0.0000 0.5000 0.0000  1.24
I 0.5000 0.5000 0.5000  0.22

Computed properties:
**Space group**: Pm-3m, No. 221
**N(E_F)**: 8.936 states/eV/f.u.

#b
## SrIr3I (PBE-GGA)

Data for SrIr3I after structural relaxation.

Lattice parameters (Å, degrees): 4.9546 4.9546 4.9546 90.00 90.00 90.00
Fractional positions:
Sr 0.5000 0.5000 0.5000
Ir 0.5000 0.0000 0.0000
Ir 0.0000 0.5000 0.0000
I 0.0000 0.0000 0.0000
Ir 0.0000 0.0000 0.5000

Computed properties:
**Space group**: Pm-3m, No. 221
**N(E_F)**: 8.348 states/eV/f.u.

#b is preferred energetically. Next in line: 1534 meV/atom higher.

#a
## Sr4IrI (PBE-GGA)

Data for Sr4IrI after structural relaxation.

Lattice parameters (Å, degrees): 7.6241 7.6156 11.5152 116.74 116.75 68.90
Fractional positions:
Ir 0.6875 0.9375 0.8751
I 0.5527 0.3027 0.6053
Sr 0.6752 0.9386 0.3278
Sr 0.0588 0.8149 0.0958
Sr 0.1526 0.3893 0.3278
I 0.4473 0.6973 0.3947
Sr 0.3248 0.0614 0.6722
Ir 0.3125 0.0625 0.1249
Sr 0.4630 0.7191 0.9042
Sr 0.9412 0.1851 0.9042
Sr 0.8474 0.6107 0.6722
Sr 0.5370 0.2809 0.0958

Computed properties:
**Space group**: C2/c, No. 15
**N(E_F)**: 4.861 states/eV/f.u.

#b
## Sr4IrI (PBE-GGA)

Data for Sr4IrI after structural relaxation.

Lattice parameters (Å, degrees): 7.6497 8.4914 9.7798 108.69 105.36 106.90
Fractional positions:
Sr 0.0727 0.8657 0.1159
Sr 0.1664 0.3979 0.3780
Sr 0.7117 0.9801 0.3780
I 0.3111 0.5611 0.1223
Ir 0.8226 0.0726 0.1452
Ir 0.1774 0.9274 0.8548
Sr 0.2883 0.0199 0.6220
Sr 0.8336 0.6021 0.6220
Sr 0.9273 0.1343 0.8841
Sr 0.5433 0.2502 0.1159
I 0.6889 0.4389 0.8777
Sr 0.4567 0.7498 0.8841

Computed properties:
**Space group**: C2/c, No. 15
**N(E_F)**: 3.285 states/eV/f.u.

#b is preferred energetically. Next in line: 11 meV/atom higher.

#a
## SrTe2IrI (PBE-GGA)

Data for SrTe2IrI after structural relaxation.

Lattice parameters (Å, degrees): 5.3620 5.3620 5.5231 90.00 90.00 90.00
Fractional positions:
Ir 0.0000 0.0000 0.0000
Te 0.5000 0.0000 0.0000
Sr 0.5000 0.5000 0.5000
Te 0.0000 0.5000 0.0000
I 0.0000 0.0000 0.5000

Computed properties:
**Space group**: P4/mmm, No. 123
**N(E_F)**: 6.327 states/eV/f.u.

#b
## SrTe2IrI (PBE-GGA)

Data for SrTe2IrI after structural relaxation.

Lattice parameters (Å, degrees): 6.1966 6.1966 6.0870 90.00 90.00 90.00
Each line ends with the local moment (μB).
Fractional positions:
Te 0.5000 0.0000 0.0000  0.19
I 0.0000 0.0000 0.5000  0.14
Sr 0.0000 0.0000 0.0000  0.00
Ir 0.5000 0.5000 0.5000  2.30
Te 0.0000 0.5000 0.0000  0.19

Computed properties:
**Space group**: P4/mmm, No. 123
**N(E_F)**: 15.922 states/eV/f.u.

#a is preferred energetically. Next in line: 1459 meV/atom higher.